[1]
Below is a geometry-optimized TbPr2Mg2In2 structure, with properties calculated at the PBE level.

Results
Calculated formation energy   -256.8 meV/atom

Lattice parameters (Å, degrees): 5.0283 5.0283 27.1142 90.00 90.00 120.00
Closest atoms and distances in Å follow each position.
Space group R-3m (No. 166, hexagonal axes)
One atom of each set of equivalent atoms:
Tb (0.0000, 0.0000, 0.0000)  6 Mg 3.36, 6 In 3.42, 2 Pr 3.49
Pr (0.0000, 0.0000, 0.1287)  4 In 3.35-3.74, 3 Mg 3.42, 1 Tb 3.49, 3 Pr 3.56
Mg (0.0000, 0.0000, 0.3957)  3 In 2.91
In (0.0000, 0.0000, 0.2666)  3 Mg 2.91


[2]
Below is a geometry-optimized Pr2MgInTe5 structure, with properties calculated at the PBE level.

Results
Formation energy (no corrections)   -8.6 eV/f.u.

Lattice parameters (Å, degrees): 4.3659 19.5353 13.2594 90.00 90.00 90.00
Closest atoms and distances in Å follow each position.
Space group Cmc2_1 (No. 36)
One atom of each set of equivalent atoms:
Pr (0.0000, 0.1188, 0.0000)  8 Te 3.25-3.41
Pr (0.0000, 0.1245, 0.3858)  8 Te 3.28-3.38
Mg (0.0000, 0.2180, 0.6995)  5 Te 2.81-3.10
In (0.0000, 0.4160, 0.1777)  4 Te 2.86-3.09
Te (0.0000, 0.0306, 0.7920)  2 In 2.86
Te (0.0000, 0.2915, 0.0342)  1 In 3.09, 2 Mg 3.10, 3 Pr 3.37-3.41
Te (0.0000, 0.2960, 0.3527)  2 Mg 2.99, 1 In 3.30
Te (0.0000, 0.3617, 0.6947)  1 Mg 2.81
Te (0.0000, 0.4878, 0.9874)  1 In 2.89


[3]
Below is a geometry-optimized Pr2ThMg2In2 structure, with properties calculated at the PBE level.

Results
Calculated formation energy   -193.1 meV/atom

Lattice parameters (Å, degrees): 5.0751 5.0751 27.1345 90.00 90.00 120.00
Closest atoms and distances in Å follow each position.
Space group R-3m (No. 166, hexagonal axes)
One atom of each set of equivalent atoms:
Pr (0.0000, 0.0000, 0.1288)  3 Mg 3.37, 4 In 3.38-3.74, 1 Th 3.50, 3 Pr 3.58
Th (0.0000, 0.0000, 0.0000)  6 In 3.44, 6 Mg 3.45, 2 Pr 3.50
Mg (0.0000, 0.0000, 0.4004)  3 In 2.93
In (0.0000, 0.0000, 0.2666)  3 Mg 2.93


[4]
Below is a geometry-optimized PrThMgIn structure, with properties calculated at the PBE level.

Results
Calculated formation energy   -181.4 meV/atom

Lattice parameters (Å, degrees): 7.7574 7.7574 7.7574 90.00 90.00 90.00
Closest atoms and distances in Å follow each position.
Space group F-43m (No. 216)
One atom of each set of equivalent atoms:
Pr (0.0000, 0.0000, 0.0000)  4 In 3.36, 4 Mg 3.36
Th (0.0000, 0.0000, 0.5000)  4 In 3.36, 4 Mg 3.36
Mg (0.2500, 0.2500, 0.2500)  4 Th 3.36, 4 Pr 3.36
In (0.2500, 0.2500, 0.7500)  4 Th 3.36, 4 Pr 3.36


[5]
Below is a geometry-optimized PrMgTlIn structure, with properties calculated at the PBE level.

Results
Excess energy over the best structure of this formula in the dataset   81 meV/atom
Calculated formation energy   -276.2 meV/atom

Lattice parameters (Å, degrees): 7.5568 7.5568 7.5568 90.00 90.00 90.00
Closest atoms and distances in Å follow each position.
Space group F-43m (No. 216)
One atom of each set of equivalent atoms:
Pr (0.0000, 0.0000, 0.0000)  4 In 3.27, 4 Tl 3.27
Mg (0.0000, 0.0000, 0.5000)  4 Tl 3.27, 4 In 3.27
Tl (0.2500, 0.2500, 0.7500)  4 Pr 3.27, 4 Mg 3.27
In (0.2500, 0.2500, 0.2500)  4 Pr 3.27, 4 Mg 3.27


[6]
Below is a geometry-optimized PrMgTlIn structure, with properties calculated at the PBE level.

Results
Excess energy over the best structure of this formula in the dataset   0 meV/atom
Calculated formation energy   -357.7 meV/atom

Lattice parameters (Å, degrees): 4.6401 4.7752 4.8039 90.00 90.00 90.00
Closest atoms and distances in Å follow each position.
Space group Pmmm (No. 47)
One atom of each set of equivalent atoms:
Pr (0.0000, 0.0000, 0.0000)  4 In 3.33, 4 Tl 3.34, 4 Mg 3.39
Mg (0.0000, 0.5000, 0.5000)  4 Tl 3.33, 4 In 3.34, 4 Pr 3.39
Tl (0.5000, 0.0000, 0.5000)  4 Mg 3.33, 4 Pr 3.34, 4 In 3.39
In (0.5000, 0.5000, 0.0000)  4 Pr 3.33, 4 Mg 3.34, 4 Tl 3.39


[7]
Below is a geometry-optimized PrMg2TlIn structure, with properties calculated at the PBE level.

Results
Calculated formation energy   -226.2 meV/atom

Lattice parameters (Å, degrees): 5.0993 15.6104 6.6319 90.00 90.00 90.00
Closest atoms and distances in Å follow each position.
Space group Cmcm (No. 63)
One atom of each set of equivalent atoms:
Pr (0.0000, 0.0888, 0.2500)  4 In 3.34, 3 Tl 3.39-3.45, 6 Mg 3.49-3.72
Mg (0.0000, 0.3022, 0.0015)  4 Mg 3.03-3.34, 1 In 3.09, 3 Tl 3.13-3.20
Tl (0.0000, 0.1324, 0.7500)  6 Mg 3.13-3.20, 3 Pr 3.39-3.45
In (0.0000, 0.5000, 0.0000)  2 Mg 3.09, 2 In 3.32, 4 Pr 3.34


[8]
Below is a geometry-optimized PrTm2Mg2In2 structure, with properties calculated at the PBE level.

Results
Calculated formation energy   -232.5 meV/atom

Lattice parameters (Å, degrees): 5.0178 5.0178 26.2722 90.00 90.00 120.00
Closest atoms and distances in Å follow each position.
Space group R-3m (No. 166, hexagonal axes)
One atom of each set of equivalent atoms:
Pr (0.0000, 0.0000, 0.0000)  2 Tm 3.46, 6 In 3.50, 6 Mg 3.52
Tm (0.0000, 0.0000, 0.1315)  3 Mg 3.24, 4 In 3.26-3.35, 3 Tm 3.44, 1 Pr 3.46
Mg (0.0000, 0.0000, 0.4095)  3 In 2.90, 3 Tm 3.24
In (0.0000, 0.0000, 0.2589)  3 Mg 2.90


[9]
Below is a geometry-optimized Pr4MgZn2In structure, with properties calculated at the PBE level.

Results
Calculated formation energy   -277.8 meV/atom

Lattice parameters (Å, degrees): 5.3819 5.3819 26.5803 90.00 90.00 120.00
Closest atoms and distances in Å follow each position.
Space group R-3m (No. 166, hexagonal axes)
One atom of each set of equivalent atoms:
Pr (0.0000, 0.0000, 0.1248)  4 Zn 3.20-3.26, 3 Mg 3.30, 1 In 3.32
Pr (0.0000, 0.0000, 0.3754)  3 In 3.30, 1 Mg 3.31, 4 Zn 3.34-3.46
Mg (0.0000, 0.0000, 0.5000)  8 Pr 3.30-3.31
Zn (0.0000, 0.0000, 0.2452)  8 Pr 3.20-3.46
In (0.0000, 0.0000, 0.0000)  8 Pr 3.30-3.32


[10]
Below is a geometry-optimized PrMgZnIn structure, with properties calculated at the PBE level.

Results
Calculated formation energy   -315.0 meV/atom

Lattice parameters (Å, degrees): 7.2937 7.2937 7.2937 90.00 90.00 90.00
Closest atoms and distances in Å follow each position.
Space group F-43m (No. 216)
One atom of each set of equivalent atoms:
Pr (0.0000, 0.0000, 0.0000)  4 In 3.16, 4 Zn 3.16
Mg (0.0000, 0.0000, 0.5000)  4 In 3.16, 4 Zn 3.16
Zn (0.2500, 0.2500, 0.2500)  4 Pr 3.16, 4 Mg 3.16
In (0.2500, 0.2500, 0.7500)  4 Pr 3.16, 4 Mg 3.16


[11]
Below is a geometry-optimized PrMgZrIn structure, with properties calculated at the PBE level.

Results
Calculated formation energy   -150.8 meV/atom

Lattice parameters (Å, degrees): 7.4155 7.4155 7.4155 90.00 90.00 90.00
Closest atoms and distances in Å follow each position.
Space group F-43m (No. 216)
One atom of each set of equivalent atoms:
Pr (0.0000, 0.0000, 0.0000)  4 In 3.21, 4 Mg 3.21
Mg (0.2500, 0.2500, 0.7500)  4 Zr 3.21, 4 Pr 3.21
Zr (0.0000, 0.0000, 0.5000)  4 Mg 3.21, 4 In 3.21
In (0.2500, 0.2500, 0.2500)  4 Zr 3.21, 4 Pr 3.21


[12]
Below is a geometry-optimized MgInPt3 structure, with properties calculated at the PBE level.

Results
Excess energy over the best structure of this formula in the dataset   162 meV/atom
Calculated formation energy   631.6 meV/atom

Lattice parameters (Å, degrees): 4.9407 4.9407 4.9407 90.00 90.00 90.00
Closest atoms and distances in Å follow each position.
Space group Pm-3m (No. 221)
One atom of each set of equivalent atoms:
Mg (0.0000, 0.0000, 0.0000)  12 Pt 3.49
In (0.5000, 0.5000, 0.5000)  6 Pt 2.47
Pt (0.0000, 0.5000, 0.5000)  2 In 2.47


[13]
Below is a geometry-optimized MgIn2Pt structure, with properties calculated at the PBE level.

Results
Calculated formation energy   -241.2 meV/atom

Lattice parameters (Å, degrees): 8.7398 8.7398 5.2560 90.00 90.00 90.00
Closest atoms and distances in Å follow each position.
Space group I-42d (No. 122)
One atom of each set of equivalent atoms:
Mg (0.0000, 0.0000, 0.0000)  2 Pt 2.63
In (0.1639, 0.2500, 0.6250)  2 Pt 2.69
Pt (0.0000, 0.0000, 0.5000)  2 Mg 2.63, 4 In 2.69


[14]
Below is a geometry-optimized MgInPt structure, with properties calculated at the PBE level.

Results
Calculated formation energy   -447.5 meV/atom

Lattice parameters (Å, degrees): 4.6517 4.6517 3.0637 90.00 90.00 120.00
Closest atoms and distances in Å follow each position.
Space group P3m1 (No. 156)
One atom of each set of equivalent atoms:
Mg (0.0000, 0.0000, 0.0000)  2 Mg 3.06, 6 Pt 3.09, 6 In 3.09
In (0.6667, 0.3333, 0.5001)  3 Pt 2.69
Pt (0.3333, 0.6667, 0.4980)  3 In 2.69


[15]
Below is a geometry-optimized MgIn2Pt structure, with properties calculated at the PBE level.

Results
Calculated formation energy   -343.8 meV/atom

Lattice parameters (Å, degrees): 3.7939 3.5109 7.0265 90.00 105.24 90.00
Closest atoms and distances in Å follow each position.
Space group Pm (No. 6)
One atom of each set of equivalent atoms:
Mg (0.0000, 0.0000, 0.0000)  4 Pt 2.67
In (0.2971, 0.0000, 0.5860)  2 Pt 2.77
In (0.6518, 0.5000, 0.3056)  1 Pt 2.74
Pt (0.4518, 0.5000, 0.9015)  4 Mg 2.67, 3 In 2.74-2.77


[16]
Below is a geometry-optimized MgIn2Pt structure, with properties calculated at the PBE level.

Results
Calculated formation energy   -281.0 meV/atom

Lattice parameters (Å, degrees): 9.2690 3.7906 4.8456 90.00 105.07 90.00
Closest atoms and distances in Å follow each position.
Space group C2/m (No. 12)
One atom of each set of equivalent atoms:
Mg (0.0000, 0.0000, 0.0000)  6 In 2.82-3.10, 4 Pt 3.08
In (0.2358, 0.0000, 0.7299)  3 Mg 2.82-3.10, 3 Pt 2.89-2.94, 2 In 2.99
Pt (0.0000, 0.5000, 0.5000)  6 In 2.89-2.94, 4 Mg 3.08


[17]
Below is a geometry-optimized Mg5InPt6 structure, with properties calculated at the PBE level.

Results
Calculated formation energy   -818.8 meV/atom

Lattice parameters (Å, degrees): 4.2399 7.1596 12.8152 90.00 90.00 90.00
Closest atoms and distances in Å follow each position.
Space group Immm (No. 71)
One atom of each set of equivalent atoms:
Mg (0.0000, 0.0000, 0.0000)  8 Pt 2.75-2.79, 4 Mg 3.01
Mg (0.0000, 0.0000, 0.3320)  8 Pt 2.75-2.83, 2 Mg 2.99, 2 In 3.02
Mg (0.0000, 0.5000, 0.3327)  8 Pt 2.76-2.78, 4 Mg 2.99-3.01
In (0.0000, 0.5000, 0.0000)  8 Pt 2.80-2.81, 4 Mg 3.02
Pt (0.0000, 0.2476, 0.1682)  7 Mg 2.75-2.79, 1 In 2.81, 4 Pt 2.98-3.02
Pt (0.0000, 0.2564, 0.5000)  6 Mg 2.75-2.83, 2 In 2.80, 4 Pt 3.02


[18]
Below is a geometry-optimized MgIn2Pt structure, with properties calculated at the PBE level.

Results
Calculated formation energy   -204.8 meV/atom

Lattice parameters (Å, degrees): 6.8723 6.8723 6.8723 90.00 90.00 90.00
Closest atoms and distances in Å follow each position.
Space group F-43m (No. 216)
One atom of each set of equivalent atoms:
Mg (0.0000, 0.0000, 0.0000)  4 In 2.98, 4 Pt 2.98
In (0.0000, 0.0000, 0.5000)  4 Pt 2.98, 4 In 2.98
In (0.2500, 0.2500, 0.7500)  4 In 2.98, 4 Mg 2.98
Pt (0.2500, 0.2500, 0.2500)  4 Mg 2.98, 4 In 2.98


[19]
Below is a geometry-optimized MgInPt6 structure, with properties calculated at the PBE level.

Results
Calculated formation energy   -486.3 meV/atom

Lattice parameters (Å, degrees): 4.0000 4.0000 8.0269 90.00 90.00 90.00
Closest atoms and distances in Å follow each position.
Space group P4/mmm (No. 123)
One atom of each set of equivalent atoms:
Mg (0.0000, 0.0000, 0.0000)  12 Pt 2.80-2.83
In (0.0000, 0.0000, 0.5000)  12 Pt 2.83-2.87
Pt (0.0000, 0.5000, 0.2432)  8 Pt 2.80-2.87, 2 Mg 2.80, 2 In 2.87
Pt (0.5000, 0.5000, 0.0000)  8 Pt 2.80, 4 Mg 2.83
Pt (0.5000, 0.5000, 0.5000)  4 In 2.83, 8 Pt 2.87


[20]
Below is a geometry-optimized Mg2InPt structure, with properties calculated at the PBE level.

Results
Calculated formation energy   -465.9 meV/atom

Lattice parameters (Å, degrees): 4.2632 4.2632 8.0840 90.00 90.00 90.00
Closest atoms and distances in Å follow each position.
Space group I-4m2 (No. 119)
One atom of each set of equivalent atoms:
Mg (0.0000, 0.0000, 0.0000)  4 In 2.94, 4 Mg 2.94, 4 Pt 3.01
Mg (0.0000, 0.5000, 0.2500)  4 Mg 2.94, 4 Pt 2.94, 4 In 3.01
In (0.0000, 0.5000, 0.7500)  8 Mg 2.94-3.01, 4 Pt 2.94
Pt (0.0000, 0.0000, 0.5000)  4 In 2.94, 8 Mg 2.94-3.01


Electronic total energy for the records above, in order: -73.958, -152.915, -80.989, -69.031, -50.335, -12.910, -56.818, -72.047, -84.664, -46.586, -73.056, -19.297, -56.309, -11.716, -14.488, -28.473, -113.562, -55.727, -44.469, -27.664 eV per cell